No. 1
First-principles (PBE-GGA) data for a relaxed structure of LaAsW, as listed in the Alexandria database.

a = 3.6396 Å, b = 3.6396 Å, c = 6.0887 Å
α = 90.00°, β = 90.00°, γ = 120.00°
Space group P3m1 (No. 156)
One atom of each set of equivalent atoms:
La 0.0000 0.0000 0.0000
As 0.3333 0.6667 0.6350
W 0.6667 0.3333 0.4029

Results
- M_tot: 0.00 μB per cell
- E above lowest polymorph: 252 meV per atom
- Fermi-level density of states: 1.00 states/eV per atom
- ΔH_f (0 K): 0.14 eV/atom

No. 2
First-principles (PBE-GGA) data for a relaxed structure of LaHo2ScSb4, as listed in the Alexandria database.

a = 6.230 Å, b = 6.230 Å, c = 12.363 Å
α = 90.00°, β = 90.00°, γ = 90.00°
Space group I4/mmm (No. 139)
One atom of each set of equivalent atoms:
La 0.000 0.000 0.000
Ho 0.000 0.500 0.250
Sc 0.000 0.000 0.500
Sb 0.000 0.000 0.261
Sb 0.000 0.500 0.000

Results
- M_tot: 0.00 μB per cell
- Fermi-level density of states: 0.14 states/eV per atom
- ΔE_f (raw): -103 kJ per mole of atoms

No. 3
First-principles (PBE-GGA) data for a relaxed structure of Li2HoHg4, as listed in the Alexandria database.

a = 4.7201 Å, b = 4.7201 Å, c = 24.3863 Å
α = 90.00°, β = 90.00°, γ = 120.00°
Space group R-3m (No. 166, hexagonal axes)
One atom of each set of equivalent atoms:
Li 0.0000 0.0000 0.2447
Ho 0.0000 0.0000 0.0000
Hg 0.0000 0.0000 0.1299
Hg 0.0000 0.0000 0.3953

Results
- M_tot: 0.00 μB per cell
- Fermi-level density of states: 0.61 states/eV per atom
- ΔH_f (0 K): -0.28 eV/atom

No. 4
First-principles (PBE-GGA) data for a relaxed structure of PrYEr3Sc, as listed in the Alexandria database.

a = 9.123 Å, b = 3.624 Å, c = 11.537 Å
α = 90.00°, β = 103.03°, γ = 90.00°
Space group P2_1/m (No. 11)
One atom of each set of equivalent atoms:
Pr 0.036 0.250 0.144
Y 0.398 0.750 0.234
Er 0.254 0.750 0.704
Er 0.328 0.250 0.962
Er 0.346 0.250 0.488
Sc 0.051 0.750 0.403

Results
- M_tot: 0.00 μB per cell
- Fermi-level density of states: 1.64 states/eV per atom
- ΔH_f (0 K): 0.06 eV/atom

No. 5
First-principles (PBE-GGA) data for a relaxed structure of In2HgPd9, as listed in the Alexandria database.

a = 4.043 Å, b = 4.043 Å, c = 12.135 Å
α = 90.00°, β = 90.00°, γ = 90.00°
Space group P4/mmm (No. 123)
One atom of each set of equivalent atoms:
In 0.000 0.000 0.167
Hg 0.000 0.000 0.500
Pd 0.000 0.500 0.000
Pd 0.000 0.500 0.331
Pd 0.500 0.500 0.165
Pd 0.500 0.500 0.500

Results
- M_tot: 0.00 μB per cell
- Fermi-level density of states: 1.25 states/eV per atom
- ΔH_f (0 K): -0.32 eV/atom

No. 6
First-principles (PBE-GGA) data for a relaxed structure of Tb6CeTm2, as listed in the Alexandria database.

a = 8.879 Å, b = 9.701 Å, c = 13.209 Å
α = 90.00°, β = 97.65°, γ = 90.00°
Space group C2/c (No. 15)
One atom of each set of equivalent atoms:
Tb 0.003 0.167 0.496
Tb 0.162 0.333 0.837
Tb 0.170 0.500 0.086
Ce 0.000 0.002 0.250
Tm 0.170 0.333 0.330

Results
- M_tot: 5.00 μB per cell
- E above lowest polymorph: 0 meV per atom
- Fermi-level density of states: 1.82 states/eV per atom
- ΔH_f (0 K): 0.09 eV/atom

No. 7
First-principles (PBE-GGA) data for a relaxed structure of CaLaP2, as listed in the Alexandria database.

a = 4.3052 Å, b = 4.3052 Å, c = 19.8028 Å
α = 90.00°, β = 90.00°, γ = 120.00°
Space group R3m (No. 160, hexagonal axes)
One atom of each set of equivalent atoms:
Ca 0.0000 0.0000 0.0000
La 0.0000 0.0000 0.8268
P 0.0000 0.0000 0.2489
P 0.0000 0.0000 0.4084

Results
- M_tot: 0.00 μB per cell
- E above lowest polymorph: 62 meV per atom
- Fermi-level density of states: 0.65 states/eV per atom
- ΔH_f (0 K): -1.08 eV/atom

No. 8
First-principles (PBE-GGA) data for a relaxed structure of NaZn2Ga, as listed in the Alexandria database.

a = 3.424 Å, b = 3.424 Å, c = 6.760 Å
α = 90.00°, β = 90.00°, γ = 90.00°
Space group P4/mmm (No. 123)
One atom of each set of equivalent atoms:
Na 0.000 0.000 0.000
Zn 0.500 0.500 0.293
Ga 0.000 0.000 0.500

Results
- M_tot: 0.00 μB per cell
- Fermi-level density of states: 0.37 states/eV per atom
- ΔH_f (0 K): 0.06 eV/atom

No. 9
First-principles (PBE-GGA) data for a relaxed structure of Rb3MgSc2S6, as listed in the Alexandria database.

a = 6.703 Å, b = 11.608 Å, c = 7.948 Å
α = 90.00°, β = 106.31°, γ = 90.00°
Space group C2/m (No. 12)
One atom of each set of equivalent atoms:
Rb 0.000 0.000 0.000
Rb 0.000 0.335 0.000
Mg 0.000 0.500 0.500
Sc 0.000 0.167 0.500
S 0.222 0.000 0.683
S 0.231 0.331 0.684

Results
- M_tot: 0.00 μB per cell
- Fermi-level density of states: 0.79 states/eV per atom
- ΔE_f (raw): -139 kJ per mole of atoms

No. 10
First-principles (PBE-GGA) data for a relaxed structure of ZnCdC2Br, as listed in the Alexandria database.

a = 3.930 Å, b = 3.930 Å, c = 6.442 Å
α = 90.00°, β = 90.00°, γ = 90.00°
Space group P4/mmm (No. 123)
One atom of each set of equivalent atoms:
Zn 0.000 0.000 0.000
Cd 0.000 0.000 0.500
C 0.000 0.500 0.000
Br 0.500 0.500 0.500

Results
- M_tot: 0.90 μB per cell
- Fermi-level density of states: 0.48 states/eV per atom
- ΔE_f (raw): 179 kJ per mole of atoms

No. 11
First-principles (PBE-GGA) data for a relaxed structure of Pr2DyUN4, as listed in the Alexandria database.

a = 6.063 Å, b = 3.554 Å, c = 6.216 Å
α = 90.00°, β = 108.86°, γ = 90.00°
Space group P2/m (No. 10)
One atom of each set of equivalent atoms:
Pr 0.000 0.000 0.000
Pr 0.500 0.500 0.000
Dy 0.000 0.500 0.500
U 0.500 0.000 0.500
N 0.263 0.000 0.711
N 0.279 0.500 0.293

Results
- M_tot: 0.00 μB per cell
- Fermi-level density of states: 0.64 states/eV per atom
- ΔE_f (raw): -142 kJ per mole of atoms

No. 12
First-principles (PBE-GGA) data for a relaxed structure of Dy3TmTe4, as listed in the Alexandria database.

a = 8.804 Å, b = 12.276 Å, c = 4.275 Å
α = 90.00°, β = 90.00°, γ = 90.00°
Space group Cmmm (No. 65)
One atom of each set of equivalent atoms:
Dy 0.000 0.000 0.000
Dy 0.250 0.250 0.500
Tm 0.000 0.500 0.000
Te 0.000 0.252 0.000
Te 0.247 0.500 0.500

Results
- M_tot: 0.00 μB per cell
- Fermi-level density of states: 0.59 states/eV per atom
- ΔE_f (raw): -121 kJ per mole of atoms

No. 13
First-principles (PBE-GGA) data for a relaxed structure of ReSe3, as listed in the Alexandria database.

a = 5.253 Å, b = 5.253 Å, c = 5.253 Å
α = 90.00°, β = 90.00°, γ = 90.00°
Space group Pm-3n (No. 223)
One atom of each set of equivalent atoms:
Re 0.000 0.000 0.000
Se 0.000 0.250 0.500

Results
- M_tot: 0.00 μB per cell
- E above lowest polymorph: 905 meV per atom
- Fermi-level density of states: 0.76 states/eV per atom
- ΔE_f (raw): 85 kJ per mole of atoms

No. 14
First-principles (PBE-GGA) data for a relaxed structure of Na3GaSb, as listed in the Alexandria database.

a = 5.846 Å, b = 5.846 Å, c = 5.846 Å
α = 90.00°, β = 90.00°, γ = 90.00°
Space group Pm-3m (No. 221)
One atom of each set of equivalent atoms:
Na 0.000 0.000 0.500
Ga 0.500 0.500 0.500
Sb 0.000 0.000 0.000

Results
- M_tot: 0.00 μB per cell
- E above lowest polymorph: 243 meV per atom
- Fermi-level density of states: 1.16 states/eV per atom
- ΔE_f (raw): 10 kJ per mole of atoms

No. 15
First-principles (PBE-GGA) data for a relaxed structure of PrY10Ho4, as listed in the Alexandria database.

a = 9.872 Å, b = 9.872 Å, c = 10.710 Å
α = 90.00°, β = 90.00°, γ = 90.00°
Space group I4/m (No. 87)
One atom of each set of equivalent atoms:
Pr 0.000 0.000 0.000
Y 0.000 0.500 0.250
Y 0.124 0.217 0.170
Ho 0.051 0.279 0.500

Results
- M_tot: 0.00 μB per cell
- Fermi-level density of states: 1.95 states/eV per atom
- ΔH_f (0 K): 0.50 eV/atom

No. 16
First-principles (PBE-GGA) data for a relaxed structure of CeY2Th, as listed in the Alexandria database.

a = 4.997 Å, b = 4.997 Å, c = 5.082 Å
α = 90.00°, β = 90.00°, γ = 90.00°
Space group P4/mmm (No. 123)
One atom of each set of equivalent atoms:
Ce 0.000 0.000 0.000
Y 0.000 0.500 0.500
Th 0.500 0.500 0.000

Results
- M_tot: 0.88 μB per cell
- E above lowest polymorph: 8 meV per atom
- Fermi-level density of states: 2.07 states/eV per atom
- ΔH_f (0 K): 0.09 eV/atom

No. 17
First-principles (PBE-GGA) data for a relaxed structure of Cd2IrS, as listed in the Alexandria database.

a = 7.478 Å, b = 7.478 Å, c = 5.478 Å
α = 90.00°, β = 90.00°, γ = 90.00°
Space group I-42d (No. 122)
One atom of each set of equivalent atoms:
Cd 0.237 0.750 0.125
Ir 0.000 0.000 0.500
S 0.000 0.000 0.000

Results
- M_tot: 0.00 μB per cell
- Fermi-level density of states: 0.91 states/eV per atom
- ΔE_f (raw): 39 kJ per mole of atoms

No. 18
First-principles (PBE-GGA) data for a relaxed structure of HRh3Br, as listed in the Alexandria database.

a = 4.031 Å, b = 4.031 Å, c = 4.031 Å
α = 90.00°, β = 90.00°, γ = 90.00°
Space group Pm-3m (No. 221)
One atom of each set of equivalent atoms:
H 0.000 0.000 0.000
Rh 0.000 0.000 0.500
Br 0.500 0.500 0.500

Results
- M_tot: 0.00 μB per cell
- E above lowest polymorph: 0 meV per atom
- Fermi-level density of states: 1.89 states/eV per atom

No. 19
First-principles (PBE-GGA) data for a relaxed structure of GaPbBrF4, as listed in the Alexandria database.

a = 11.901 Å, b = 8.023 Å, c = 7.603 Å
α = 90.00°, β = 117.16°, γ = 90.00°
Space group C2/m (No. 12)
One atom of each set of equivalent atoms:
Ga 0.126 0.000 0.206
Pb 0.208 0.500 0.168
Br 0.002 0.500 0.253
F 0.049 0.000 0.890
F 0.162 0.000 0.467
F 0.206 0.189 0.191

Results
- M_tot: 0.00 μB per cell
- Fermi-level density of states: 0.00 states/eV per atom
- ΔE_f (raw): -209 kJ per mole of atoms

No. 20
First-principles (PBE-GGA) data for a relaxed structure of Ba2NaSr2, as listed in the Alexandria database.

a = 5.200 Å, b = 5.200 Å, c = 22.741 Å
α = 90.00°, β = 90.00°, γ = 90.00°
Space group I4/mmm (No. 139)
One atom of each set of equivalent atoms:
Ba 0.000 0.000 0.095
Na 0.000 0.000 0.500
Sr 0.000 0.500 0.250

Results
- M_tot: 0.00 μB per cell
- E above lowest polymorph: 209 meV per atom
- Fermi-level density of states: 0.86 states/eV per atom
- ΔH_f (0 K): 0.22 eV/atom